[1]
# NaCd9Au2

Crystalline NaCd9Au2 at its relaxed geometry (PBE, Alexandria via LeMat-Bulk).

Cell: 7.7204 9.3035 9.3035 Å, 80.09 65.49 65.49°
Closest atoms and distances in Å follow each position.
Fractional coordinates of all 24 atoms:
1 Cd 0.0000 0.0000 0.0000  4 Au 3.14, 8 Cd 3.20
2 Cd 0.7500 0.5000 0.5000  4 Au 3.14, 8 Cd 3.20
3 Cd 0.4309 0.8218 0.4190  6 Cd 2.88-3.20, 2 Au 2.92-2.94
4 Cd 0.0027 0.6782 0.9190  6 Cd 2.88-3.20, 2 Au 2.92-2.94
5 Cd 0.1500 0.1782 0.4190  6 Cd 2.88-3.20, 2 Au 2.92-2.94
6 Cd 0.3191 0.6782 0.0810  6 Cd 2.88-3.20, 2 Au 2.92-2.94
7 Cd 0.0782 0.9190 0.3218  6 Cd 2.88-3.20, 2 Au 2.92-2.94
8 Cd 0.6000 0.3218 0.0810  6 Cd 2.88-3.20, 2 Au 2.92-2.94
9 Cd 0.7473 0.8218 0.5810  6 Cd 2.88-3.20, 2 Au 2.92-2.94
10 Cd 0.0027 0.9190 0.6782  6 Cd 2.88-3.20, 2 Au 2.92-2.94
11 Cd 0.6000 0.0810 0.3218  6 Cd 2.88-3.20, 2 Au 2.92-2.94
12 Cd 0.3191 0.0810 0.6782  6 Cd 2.88-3.20, 2 Au 2.92-2.94
13 Cd 0.1500 0.4190 0.1782  6 Cd 2.88-3.20, 2 Au 2.92-2.94
14 Cd 0.4309 0.4190 0.8218  6 Cd 2.88-3.20, 2 Au 2.92-2.94
15 Au 0.8750 0.2500 0.7500  10 Cd 2.92-3.14
16 Cd 0.6718 0.5810 0.1782  6 Cd 2.88-3.20, 2 Au 2.92-2.94
17 Cd 0.7473 0.5810 0.8218  6 Cd 2.88-3.20, 2 Au 2.92-2.94
18 Na 0.5000 0.0000 0.0000  18 Cd 3.65-3.87
19 Au 0.8750 0.2500 0.2500  10 Cd 2.92-3.14
20 Na 0.2500 0.5000 0.5000  18 Cd 3.65-3.87
21 Cd 0.6718 0.1782 0.5810  6 Cd 2.88-3.20, 2 Au 2.92-2.94
22 Cd 0.0782 0.3218 0.9190  6 Cd 2.88-3.20, 2 Au 2.92-2.94
23 Au 0.8750 0.7500 0.2500  10 Cd 2.92-3.14
24 Au 0.3750 0.7500 0.7500  10 Cd 2.92-3.14

The distance to the lowest polymorph of the same formula is 0.00 eV/f.u. The value obtained for the total magnetic moment is 0.00 μB per formula unit. The mass density comes out at 8.577 Mg/m³. For the formation energy, the calculation gives -0.125 eV/atom.

---

[2]
# Zr2AlNi4

Crystalline Zr2AlNi4 at its relaxed geometry (PBE, Alexandria via LeMat-Bulk).

Cell: 3.9974 3.9974 8.0933 Å, 90.00 90.00 120.00°
Closest atoms and distances in Å follow each position.
Fractional coordinates of all 7 atoms:
1 Zr 0.6667 0.3333 0.7594  8 Ni 2.63-2.80
2 Al 0.0000 0.0000 0.5000  6 Ni 2.41
3 Ni 0.6667 0.3333 0.4129  3 Al 2.41, 1 Ni 2.66, 3 Zr 2.70
4 Ni 0.3333 0.6667 0.5871  3 Al 2.41, 1 Ni 2.66, 3 Zr 2.70
5 Zr 0.3333 0.6667 0.2406  8 Ni 2.63-2.80
6 Ni 0.3333 0.6667 0.9154  4 Zr 2.63, 4 Ni 2.66-2.68
7 Ni 0.6667 0.3333 0.0846  4 Zr 2.63, 4 Ni 2.66-2.68

The distance to the lowest polymorph of the same formula is 1.17 eV/f.u. The value obtained for the total magnetic moment is 0.00 μB per formula unit. The mass density comes out at 6.586 Mg/m³. For the formation energy, the calculation gives -0.336 eV/atom.

---

[3]
# Ti2NiPt5Rh

Crystalline Ti2NiPt5Rh at its relaxed geometry (PBE, Alexandria via LeMat-Bulk).

Cell: 7.3757 7.3757 7.5255 Å, 119.34 119.34 90.00°
Closest atoms and distances in Å follow each position.
Fractional coordinates of all 18 atoms:
1 Pt 0.8411 0.9226 0.2638  1 Ti 2.34, 1 Rh 2.53
2 Pt 0.4226 0.3411 0.2638  1 Ti 2.34, 1 Rh 2.53
3 Ni 0.7500 0.7500 0.5000  10 Pt 2.71-2.94
4 Pt 0.0774 0.5774 0.7362  1 Ti 2.34, 1 Rh 2.53
5 Pt 0.5000 0.5000 0.0000  2 Ni 2.71, 4 Ti 2.97, 8 Pt 3.00
6 Pt 0.0000 0.0000 0.0000  2 Ni 2.71, 4 Ti 2.97, 8 Pt 3.00
7 Ni 0.2500 0.2500 0.5000  10 Pt 2.71-2.94
8 Pt 0.3411 0.8411 0.2638  1 Ti 2.34, 1 Rh 2.53
9 Pt 0.6589 0.1589 0.7362  1 Ti 2.34, 1 Rh 2.53
10 Rh 0.2500 0.7500 0.5000  4 Pt 2.53
11 Pt 0.1589 0.0774 0.7362  1 Ti 2.34, 1 Rh 2.53
12 Pt 0.9226 0.4226 0.2638  1 Ti 2.34, 1 Rh 2.53
13 Ti 0.1130 0.3870 0.0000  2 Pt 2.34, 1 Ti 2.36
14 Pt 0.5774 0.6589 0.7362  1 Ti 2.34, 1 Rh 2.53
15 Rh 0.7500 0.2500 0.5000  4 Pt 2.53
16 Ti 0.6130 0.1130 0.0000  2 Pt 2.34, 1 Ti 2.36
17 Ti 0.8870 0.6130 0.0000  2 Pt 2.34, 1 Ti 2.36
18 Ti 0.3870 0.8870 0.0000  2 Pt 2.34, 1 Ti 2.36

The value obtained for the total magnetic moment is 0.78 μB per formula unit. The mass density comes out at 13.872 Mg/m³. For the formation energy, the calculation gives -0.026 eV/atom.

---

[4]
# Te2As2Cl

Crystalline Te2As2Cl at its relaxed geometry (PBE, Alexandria via LeMat-Bulk).

Cell: 12.1315 7.2580 7.1233 Å, 50.37 40.06 56.33°
Closest atoms and distances in Å follow each position.
Fractional coordinates of all 10 atoms:
1 Te 0.5830 0.3396 0.2518  1 As 2.66
2 Te 0.2591 0.9927 0.2262  2 As 2.66-2.80
3 As 0.4246 0.1486 0.2271  2 Te 2.66-2.80
4 As 0.2675 0.4791 0.7071  1 Cl 2.44, 1 Te 2.66
5 Cl 0.1056 0.3538 0.7329  1 As 2.44
6 As 0.5754 0.8514 0.7729  2 Te 2.66-2.80
7 Cl 0.8944 0.6462 0.2671  1 As 2.44
8 Te 0.4170 0.6604 0.7482  1 As 2.66
9 As 0.7325 0.5209 0.2929  1 Cl 2.44, 1 Te 2.66
10 Te 0.7409 0.0073 0.7738  2 As 2.66-2.80

The distance to the lowest polymorph of the same formula is 0.00 eV/f.u. The value obtained for the total magnetic moment is 0.00 μB per formula unit. The mass density comes out at 4.748 Mg/m³. Its formation energy from raw total energies is -0.128 eV per atom.

---

[5]
# RbPdSe3

Crystalline RbPdSe3 at its relaxed geometry (PBE, Alexandria via LeMat-Bulk).

Cell: 5.1158 5.1158 5.1158 Å, 90.00 90.00 90.00°
Closest atoms and distances in Å follow each position.
Fractional coordinates of all 5 atoms:
1 Se 0.0000 0.5000 0.0000  2 Pd 2.56
2 Se 0.0000 0.0000 0.5000  2 Pd 2.56
3 Se 0.5000 0.0000 0.0000  2 Pd 2.56
4 Pd 0.0000 0.0000 0.0000  6 Se 2.56
5 Rb 0.5000 0.5000 0.5000  12 Se 3.62

The distance to the lowest polymorph of the same formula is 1.42 eV/f.u. The value obtained for the total magnetic moment is 0.00 μB per formula unit. The mass density comes out at 5.318 Mg/m³. Its formation energy from raw total energies is -0.201 eV per atom.

---

[6]
# PmTmRhAu

Crystalline PmTmRhAu at its relaxed geometry (PBE, Alexandria via LeMat-Bulk).

Cell: 5.0109 5.0109 5.0109 Å, 60.00 60.00 60.00°
Closest atoms and distances in Å follow each position.
Fractional coordinates of all 4 atoms:
1 Tm 0.2500 0.2500 0.2500  4 Rh 3.07, 4 Au 3.07
2 Rh 0.5000 0.5000 0.5000  4 Tm 3.07, 4 Pm 3.07
3 Pm 0.7500 0.7500 0.7500  4 Rh 3.07, 4 Au 3.07
4 Au 0.0000 0.0000 0.0000  4 Tm 3.07, 4 Pm 3.07

The distance to the lowest polymorph of the same formula is 0.16 eV/f.u. The value obtained for the total magnetic moment is 0.00 μB per formula unit. The mass density comes out at 11.456 Mg/m³. For the formation energy, the calculation gives -0.783 eV/atom.

---

| no. | V (A^3/atom) |
| --- | --- |
| 1 | 23.050 |
| 2 | 16.000 |
| 3 | 16.396 |
| 4 | 30.814 |
| 5 | 26.777 |
| 6 | 22.243 |